Record 1
LaZn2CdNi: relaxed, PBE.

```
data_LaZn2CdNi
_chemical_formula_sum 'La1 Zn2 Cd1 Ni1'
_symmetry_space_group_name_H-M 'P 1'
_symmetry_Int_Tables_number 1
_cell_length_a 4.808
_cell_length_b 4.808
_cell_length_c 5.011
_cell_angle_alpha 90.00
_cell_angle_beta 90.00
_cell_angle_gamma 90.00
loop_
_symmetry_equiv_pos_as_xyz
'x,y,z'
loop_
_atom_site_label
_atom_site_type_symbol
_atom_site_fract_x
_atom_site_fract_y
_atom_site_fract_z
La1 La 0.000 0.000 0.000
Zn1 Zn 0.000 0.500 0.500
Zn2 Zn 0.500 0.000 0.500
Cd1 Cd 0.500 0.500 0.000
Ni1 Ni 0.000 0.000 0.500
```

Summary:
As for the density: 6.320 g cm⁻³. As for the energy relative to the elements: -152 meV/atom. The volume is 23.165 Å³/atom. The space-group type is P4/mmm.

Record 2
Ce4Te3Br2: relaxed, PBE.

```
data_Ce4Te3Br2
_chemical_formula_sum 'Ce4 Te3 Br2'
_symmetry_space_group_name_H-M 'P 1'
_symmetry_Int_Tables_number 1
_cell_length_a 7.687
_cell_length_b 7.687
_cell_length_c 10.743
_cell_angle_alpha 119.50
_cell_angle_beta 119.50
_cell_angle_gamma 33.10
loop_
_symmetry_equiv_pos_as_xyz
'x,y,z'
loop_
_atom_site_label
_atom_site_type_symbol
_atom_site_fract_x
_atom_site_fract_y
_atom_site_fract_z
Ce1 Ce 0.109 0.109 0.410
Ce2 Ce 0.299 0.299 0.193
Ce3 Ce 0.701 0.701 0.807
Ce4 Ce 0.891 0.891 0.590
Te1 Te 0.317 0.317 0.729
Te2 Te 0.500 0.500 0.500
Te3 Te 0.683 0.683 0.271
Br1 Br 0.098 0.098 0.895
Br2 Br 0.902 0.902 0.105
```

Summary:
As for the density: 6.158 g cm⁻³. The volume is 33.049 Å³/atom. The space-group type is C2/m. The energy relative to the elements, uncorrected comes out at -1395 meV per atom.